Material: Tc2PtBr
Method: DFT, PBE
State: relaxed

Cell lengths 2.850, 5.057, 9.244 Å; angles 90.00, 90.00, 90.00 degrees
Fractional positions:
Tc1 0.000 0.000 0.248
Tc2 0.000 0.000 0.752
Tc3 0.500 0.500 0.248
Tc4 0.500 0.500 0.752
Pt1 0.000 0.500 0.000
Pt2 0.500 0.000 0.000
Br1 0.000 0.500 0.500
Br2 0.500 0.000 0.500

Values from the calculation:
DOS(E_F) ... 9.68 states/eV/cell
ΔE to the lowest computed polymorph ... 489 meV/atom
Electronic total energy ... -6.292 eV per atom
Crystal system ... orthorhombic



Material: TlTcPtBr2
Method: DFT, PBE
State: relaxed

Cell lengths 5.184, 5.184, 4.894 Å; angles 90.00, 90.00, 90.00 degrees
Fractional positions:
Tl1 0.000 0.000 0.000
Tc1 0.500 0.500 0.500
Pt1 0.500 0.500 0.000
Br1 0.000 0.500 0.500
Br2 0.500 0.000 0.500

Values from the calculation:
DOS(E_F) ... 3.99 states/eV/cell
Electronic total energy ... -4.147 eV per atom
Crystal system ... tetragonal



Material: TePtBr2
Method: DFT, PBE
State: relaxed

Cell lengths 3.779, 5.468, 15.770 Å; angles 90.00, 90.00, 90.00 degrees
Fractional positions:
Te1 0.000 0.000 0.000
Te2 0.500 0.500 0.500
Pt1 0.000 0.500 0.393
Pt2 0.500 0.000 0.893
Br1 0.000 0.000 0.784
Br2 0.000 0.500 0.047
Br3 0.500 0.000 0.547
Br4 0.500 0.500 0.284

Values from the calculation:
Electronic total energy ... -3.428 eV per atom
Crystal system ... orthorhombic



Material: TePtBr2
Method: DFT, PBE
State: relaxed

Cell lengths 3.660, 3.660, 29.875 Å; angles 90.00, 90.00, 120.00 degrees
Fractional positions:
Te1 0.000 0.000 0.000
Te2 0.333 0.667 0.667
Te3 0.667 0.333 0.333
Pt1 0.000 0.000 0.500
Pt2 0.333 0.667 0.167
Pt3 0.667 0.333 0.833
Br1 0.000 0.000 0.113
Br2 0.000 0.000 0.887
Br3 0.333 0.667 0.554
Br4 0.333 0.667 0.780
Br5 0.667 0.333 0.220
Br6 0.667 0.333 0.446

Values from the calculation:
DOS(E_F) ... 9.41 states/eV/cell
Electronic total energy ... -2.814 eV per atom
Crystal system ... trigonal



Material: Te2PtBr
Method: DFT, PBE
State: relaxed

Cell lengths 4.083, 4.102, 7.723 Å; angles 76.90, 74.99, 60.20 degrees
Fractional positions:
Te1 0.236 0.203 0.321
Te2 0.764 0.797 0.679
Pt1 0.500 0.500 0.500
Br1 0.000 0.000 0.000

Values from the calculation:
DOS(E_F) ... 1.97 states/eV/cell
Electronic total energy ... -3.894 eV per atom
Crystal system ... triclinic



Material: TePt2Br2
Method: DFT, PBE
State: relaxed

Cell lengths 8.833, 8.833, 2.938 Å; angles 90.00, 90.00, 90.00 degrees
Fractional positions:
Te1 0.000 0.000 0.000
Te2 0.500 0.500 0.000
Pt1 0.208 0.292 0.500
Pt2 0.292 0.792 0.500
Pt3 0.708 0.208 0.500
Pt4 0.792 0.708 0.500
Br1 0.124 0.624 0.000
Br2 0.376 0.124 0.000
Br3 0.624 0.876 0.000
Br4 0.876 0.376 0.000

Values from the calculation:
DOS(E_F) ... 9.01 states/eV/cell
ΔE to the lowest computed polymorph ... 231 meV/atom
Electronic total energy ... -2.927 eV per atom
Crystal system ... tetragonal



Material: TePtBr2
Method: DFT, PBE
State: relaxed

Cell lengths 3.780, 7.432, 9.079 Å; angles 90.00, 90.00, 90.00 degrees
Fractional positions:
Te1 0.000 0.000 0.000
Te2 0.500 0.500 0.000
Pt1 0.000 0.500 0.186
Pt2 0.500 0.000 0.186
Br1 0.000 0.000 0.375
Br2 0.000 0.500 0.737
Br3 0.500 0.000 0.737
Br4 0.500 0.500 0.375

Values from the calculation:
DOS(E_F) ... 7.46 states/eV/cell
Electronic total energy ... -3.143 eV per atom
Crystal system ... orthorhombic



Material: Te2PtBr
Method: DFT, PBE
State: relaxed

Cell lengths 7.215, 5.262, 14.079 Å; angles 90.00, 120.43, 90.00 degrees
Fractional positions:
Te1 0.011 0.214 0.068
Te2 0.011 0.286 0.568
Te3 0.376 0.216 0.932
Te4 0.376 0.284 0.432
Te5 0.624 0.716 0.568
Te6 0.624 0.784 0.068
Te7 0.989 0.714 0.432
Te8 0.989 0.786 0.932
Pt1 0.322 0.000 0.573
Pt2 0.322 0.500 0.073
Pt3 0.678 0.000 0.427
Pt4 0.678 0.500 0.927
Br1 0.330 0.749 0.249
Br2 0.330 0.751 0.749
Br3 0.670 0.249 0.251
Br4 0.670 0.251 0.751

Values from the calculation:
DOS(E_F) ... 5.19 states/eV/cell
Electronic total energy ... -3.749 eV per atom
Crystal system ... monoclinic